8
Lattice="6.058 0.000 0.000 0.000 6.058 0.000 3.029 3.029 4.363" Properties=species:S:1:pos:R:3 comment="PBE with a Hubbard U WN2F, optimized geometry" polymorph_energy_ev_per_fu=0.00 total_magnetization_mub_per_fu=0.00 crystal_system=tetragonal energy_ev_per_cell=-49.89 pbc="T T T"
N 6.047 4.543 1.091
N 4.543 3.018 3.272
N 7.572 3.040 3.272
N 6.069 1.514 1.091
W 0.000 0.000 0.000
W 6.058 3.029 2.181
F 3.029 6.058 2.181
F 3.029 3.029 0.000